# 1
PBE TbSm3Dy2Se6, relaxed; space group = No. 12; calculated density = 7.846 Mg/m³; density of states at the Fermi level = 5.663 states/eV/cell; total DFT energy (no corrections) = -5.866 eV/atom
1.0
3.551 -6.189 0.000
3.551 6.189 0.000
-2.382 0.000 6.784
Tb Sm Dy Se
1 3 2 6
Cartesian
0.000 0.000 0.000
2.360 4.136 3.392
2.360 0.000 3.392
2.360 -4.136 3.392
3.551 2.061 0.000
3.551 -2.061 0.000
1.184 2.071 1.640
-0.001 0.000 5.148
1.184 -2.071 1.640
3.536 2.071 5.145
4.721 0.000 1.636
3.536 -2.071 5.145



# 2
PBE TlGeSbOs2, relaxed; excess energy over the best structure of this formula in the dataset = 494 meV/atom; space group = No. 123; calculated density = 10.266 Mg/m³; density of states at the Fermi level = 4.702 states/eV/cell; total DFT energy (no corrections) = -4.383 eV/atom
1.0
5.045 0.000 0.000
0.000 5.045 0.000
0.000 0.000 4.953
Tl Ge Sb Os
1 1 1 2
Cartesian
0.000 0.000 0.000
0.000 0.000 2.477
2.522 2.522 2.477
0.000 2.522 0.000
2.522 0.000 0.000